1.
FeBI2N: optimized geometry, GGA-PBE.

E above lowest polymorph = 0.605 eV per atom
size of the total moment = 0.0 μB per formula unit
energy = -4.170 eV/atom
calculated volume = 100.1 Å³/cell

```
data_FeBI2N
_chemical_formula_sum 'Fe1 B1 I2 N1'
_symmetry_space_group_name_H-M 'P 4/m m m'
_symmetry_Int_Tables_number 123
_symmetry_space_group_name_Hall '-P 4 2'
_cell_length_a 5.3634
_cell_length_b 5.3634
_cell_length_c 3.4785
_cell_angle_alpha 90.00
_cell_angle_beta 90.00
_cell_angle_gamma 90.00
loop_
_atom_site_label
_atom_site_type_symbol
_atom_site_fract_x
_atom_site_fract_y
_atom_site_fract_z
Fe1 Fe 0.0000 0.0000 0.0000
B1 B 0.5000 0.5000 0.5000
I1 I 0.0000 0.5000 0.0000
N1 N 0.0000 0.0000 0.5000
```


2.
FeBI2N: optimized geometry, GGA-PBE.

E above lowest polymorph = 0.000 eV per atom
size of the total moment = 3.7 μB per formula unit
energy = -4.775 eV/atom
calculated volume = 115.9 Å³/cell

```
data_FeBI2N
_chemical_formula_sum 'Fe1 B1 I2 N1'
_symmetry_space_group_name_H-M 'P 4/m m m'
_symmetry_Int_Tables_number 123
_symmetry_space_group_name_Hall '-P 4 2'
_cell_length_a 6.4547
_cell_length_b 6.4547
_cell_length_c 2.7808
_cell_angle_alpha 90.00
_cell_angle_beta 90.00
_cell_angle_gamma 90.00
loop_
_atom_site_label
_atom_site_type_symbol
_atom_site_fract_x
_atom_site_fract_y
_atom_site_fract_z
Fe1 Fe 0.0000 0.0000 0.0000
B1 B 0.5000 0.5000 0.5000
I1 I 0.0000 0.5000 0.5000
N1 N 0.5000 0.5000 0.0000
```


3.
FeBIN2: optimized geometry, GGA-PBE.

E above lowest polymorph = 0.132 eV per atom
size of the total moment = 3.0 μB per formula unit
energy = -5.053 eV/atom
calculated volume = 74.8 Å³/cell

```
data_FeBIN2
_chemical_formula_sum 'Fe1 B1 I1 N2'
_symmetry_space_group_name_H-M 'P 4/m m m'
_symmetry_Int_Tables_number 123
_symmetry_space_group_name_Hall '-P 4 2'
_cell_length_a 3.3886
_cell_length_b 3.3886
_cell_length_c 6.5109
_cell_angle_alpha 90.00
_cell_angle_beta 90.00
_cell_angle_gamma 90.00
loop_
_atom_site_label
_atom_site_type_symbol
_atom_site_fract_x
_atom_site_fract_y
_atom_site_fract_z
Fe1 Fe 0.0000 0.0000 0.0000
B1 B 0.5000 0.5000 0.5000
I1 I 0.5000 0.5000 0.0000
N1 N 0.0000 0.5000 0.5000
```


4.
FeBIN2: optimized geometry, GGA-PBE.

E above lowest polymorph = 0.000 eV per atom
size of the total moment = 0.0 μB per formula unit
energy = -5.184 eV/atom
calculated volume = 86.8 Å³/cell

```
data_FeBIN2
_chemical_formula_sum 'Fe1 B1 I1 N2'
_symmetry_space_group_name_H-M 'P 4/m m m'
_symmetry_Int_Tables_number 123
_symmetry_space_group_name_Hall '-P 4 2'
_cell_length_a 3.5111
_cell_length_b 3.5111
_cell_length_c 7.0421
_cell_angle_alpha 90.00
_cell_angle_beta 90.00
_cell_angle_gamma 90.00
loop_
_atom_site_label
_atom_site_type_symbol
_atom_site_fract_x
_atom_site_fract_y
_atom_site_fract_z
Fe1 Fe 0.0000 0.0000 0.0000
B1 B 0.5000 0.5000 0.5000
I1 I 0.0000 0.0000 0.5000
N1 N 0.0000 0.5000 0.0000
```


5.
NbFeBI2: optimized geometry, GGA-PBE.

size of the total moment = 1.2 μB per formula unit
energy = -4.039 eV/atom
calculated volume = 145.1 Å³/cell

```
data_NbFeBI2
_chemical_formula_sum 'Nb1 Fe1 B1 I2'
_symmetry_space_group_name_H-M 'P 4/m m m'
_symmetry_Int_Tables_number 123
_symmetry_space_group_name_Hall '-P 4 2'
_cell_length_a 5.5168
_cell_length_b 5.5168
_cell_length_c 4.7689
_cell_angle_alpha 90.00
_cell_angle_beta 90.00
_cell_angle_gamma 90.00
loop_
_atom_site_label
_atom_site_type_symbol
_atom_site_fract_x
_atom_site_fract_y
_atom_site_fract_z
Nb1 Nb 0.0000 0.0000 0.0000
Fe1 Fe 0.0000 0.0000 0.5000
B1 B 0.5000 0.5000 0.5000
I1 I 0.0000 0.5000 0.0000
```


- size of the total moment of number 1 (FeBI2N)?
  0.0 μB per formula unit